1.
A plane-wave DFT calculation with PBE was carried out for crystalline Ba2Al4CdAg3 at its relaxed geometry.

Unit cell a=4.6577 b=4.6577 c=11.3167 alpha=90.00 beta=90.00 gamma=90.00
With the nearest neighbours (Å) after each atom.
Atoms (fractional coordinates):
Ba1 0.5000 0.0000 0.2466  8 Al 3.56-3.64, 6 Ag 3.58-3.69, 2 Cd 3.69
Ba2 0.0000 0.5000 0.7534  8 Al 3.56-3.64, 6 Ag 3.58-3.69, 2 Cd 3.69
Al1 0.5000 0.5000 0.0000  4 Ag 2.72
Al2 0.0000 0.0000 0.0000  4 Ag 2.72
Al3 0.5000 0.0000 0.6339  3 Ag 2.75-2.78, 2 Cd 2.78
Al4 0.0000 0.5000 0.3661  3 Ag 2.75-2.78, 2 Cd 2.78
Cd1 0.5000 0.5000 0.5000  4 Al 2.78
Ag1 0.0000 0.0000 0.5000  4 Al 2.78
Ag2 0.5000 0.0000 0.8766  5 Al 2.72-2.75
Ag3 0.0000 0.5000 0.1234  5 Al 2.72-2.75

* space-group type: No. 115
* formation energy: -205 meV/atom

=====

2.
A plane-wave DFT calculation with PBE was carried out for crystalline Pr6Ni2PdCl3 at its relaxed geometry.

Unit cell a=4.1361 b=8.8905 c=9.7914 alpha=108.54 beta=102.19 gamma=90.00
With the nearest neighbours (Å) after each atom.
Atoms (fractional coordinates):
Pr1 0.3395 0.8832 0.6789  2 Ni 2.82, 1 Pd 2.91
Pr2 0.6778 0.5608 0.3557  3 Ni 2.80-2.83
Pr3 0.6605 0.1168 0.3211  2 Ni 2.82, 1 Pd 2.91
Pr4 0.0146 0.2384 0.0292  1 Ni 2.76, 2 Pd 2.91
Pr5 0.9854 0.7616 0.9708  1 Ni 2.76, 2 Pd 2.91
Pr6 0.3222 0.4392 0.6443  3 Ni 2.80-2.83
Ni1 0.8327 0.6628 0.6654  6 Pr 2.76-2.83
Ni2 0.1673 0.3372 0.3346  6 Pr 2.76-2.83
Pd1 0.5000 0.0000 0.0000  6 Pr 2.91
Cl1 0.5000 0.5000 0.0000  6 Pr 3.19-3.27
Cl2 0.8319 0.1663 0.6639  6 Pr 3.17-3.34
Cl3 0.1681 0.8337 0.3361  6 Pr 3.17-3.34

* space-group type: No. 12
* formation energy without anion corrections: -22.047 kcal/mol of atoms